Density functional theory data (PBE-GGA) for an optimized crystal structure of Ba2MnMoI.

Cell lengths 6.556, 6.556, 4.947 Å; angles 90.00, 90.00, 90.00 degrees
Fractional positions:
Ba  0.000  0.500  0.000
Ba  0.500  0.000  0.000
Mn  0.000  0.000  0.500
Mo  0.500  0.500  0.500
I  0.000  0.000  0.000

Results
E_form (uncorrected)	975	meV/atom
SG	P4/mmm